Material: Cs2InIr
Method: DFT, PBE
State: relaxed

Cell and atoms, written as CIF:
```
data_Cs2InIr
_chemical_formula_sum 'Cs8 In4 Ir4'
_cell_length_a 9.065
_cell_length_b 9.065
_cell_length_c 11.933
_cell_angle_alpha 90.00
_cell_angle_beta 90.00
_cell_angle_gamma 90.00
_space_group_name_H-M_alt 'P 1'
_space_group_IT_number 1
loop_
_space_group_symop_operation_xyz
'x,y,z'
loop_
_atom_site_label
_atom_site_fract_x
_atom_site_fract_y
_atom_site_fract_z
Cs1 0.071 0.250 0.125
Cs2 0.250 0.571 0.375
Cs3 0.250 0.929 0.875
Cs4 0.429 0.250 0.625
Cs5 0.571 0.750 0.625
Cs6 0.750 0.071 0.875
Cs7 0.750 0.429 0.375
Cs8 0.929 0.750 0.125
In1 0.000 0.000 0.500
In2 0.000 0.500 0.750
In3 0.500 0.000 0.250
In4 0.500 0.500 0.000
Ir1 0.000 0.000 0.000
Ir2 0.000 0.500 0.250
Ir3 0.500 0.000 0.750
Ir4 0.500 0.500 0.500
```



Material: CsInIr3
Method: DFT, PBE
State: relaxed

Cell and atoms, written as CIF:
```
data_CsInIr3
_chemical_formula_sum 'Cs1 In1 Ir3'
_cell_length_a 5.102
_cell_length_b 5.102
_cell_length_c 5.102
_cell_angle_alpha 90.00
_cell_angle_beta 90.00
_cell_angle_gamma 90.00
_space_group_name_H-M_alt 'P 1'
_space_group_IT_number 1
loop_
_space_group_symop_operation_xyz
'x,y,z'
loop_
_atom_site_label
_atom_site_fract_x
_atom_site_fract_y
_atom_site_fract_z
Cs1 0.000 0.000 0.000
In1 0.500 0.500 0.500
Ir1 0.000 0.500 0.500
Ir2 0.500 0.000 0.500
Ir3 0.500 0.500 0.000
```



Material: CsInIr2
Method: DFT, PBE
State: relaxed

Cell and atoms, written as CIF:
```
data_CsInIr2
_chemical_formula_sum 'Cs4 In4 Ir8'
_cell_length_a 5.069
_cell_length_b 5.069
_cell_length_c 18.794
_cell_angle_alpha 90.00
_cell_angle_beta 90.00
_cell_angle_gamma 90.00
_space_group_name_H-M_alt 'P 1'
_space_group_IT_number 1
loop_
_space_group_symop_operation_xyz
'x,y,z'
loop_
_atom_site_label
_atom_site_fract_x
_atom_site_fract_y
_atom_site_fract_z
Cs1 0.000 0.250 0.375
Cs2 0.000 0.750 0.625
Cs3 0.500 0.250 0.125
Cs4 0.500 0.750 0.875
In1 0.000 0.250 0.875
In2 0.000 0.750 0.125
In3 0.500 0.250 0.625
In4 0.500 0.750 0.375
Ir1 0.000 0.000 0.000
Ir2 0.000 0.500 0.000
Ir3 0.250 0.250 0.750
Ir4 0.250 0.750 0.250
Ir5 0.500 0.000 0.500
Ir6 0.500 0.500 0.500
Ir7 0.750 0.250 0.750
Ir8 0.750 0.750 0.250
```



Material: CsInIr
Method: DFT, PBE
State: relaxed

Cell and atoms, written as CIF:
```
data_CsInIr
_chemical_formula_sum 'Cs2 In2 Ir2'
_cell_length_a 4.329
_cell_length_b 4.856
_cell_length_c 12.813
_cell_angle_alpha 97.95
_cell_angle_beta 90.90
_cell_angle_gamma 116.47
_space_group_name_H-M_alt 'P 1'
_space_group_IT_number 1
loop_
_space_group_symop_operation_xyz
'x,y,z'
loop_
_atom_site_label
_atom_site_fract_x
_atom_site_fract_y
_atom_site_fract_z
Cs1 0.000 0.000 0.000
Cs2 0.382 0.821 0.388
In1 0.249 0.518 0.794
In2 0.782 0.602 0.609
Ir1 0.081 0.201 0.598
Ir2 0.507 0.043 0.689
```



| no. | volume (Å³ per cell) | energy (eV/atom) |
| --- | --- | --- |
| 1 | 981 | -2.11 |
| 2 | 133 | -4.26 |
| 3 | 483 | -4.71 |
| 4 | 238 | -3.98 |